*P*
Computed, not measured: a geometry-optimized LaCdW structure at the GGA-PBE level of DFT.

Geometry as CIF:
```
data_LaCdW
_chemical_formula_sum 'La1 Cd1 W1'
_cell_length_a 4.900
_cell_length_b 4.900
_cell_length_c 4.900
_cell_angle_alpha 60.00
_cell_angle_beta 60.00
_cell_angle_gamma 60.00
_space_group_name_H-M_alt 'P 1'
_space_group_IT_number 1
loop_
_space_group_symop_operation_xyz
'x,y,z'
loop_
_atom_site_label
_atom_site_fract_x
_atom_site_fract_y
_atom_site_fract_z
_atom_site_occupancy
La1 0.750 0.750 0.750 1
Cd1 0.250 0.250 0.250 1
W1 0.000 0.000 0.000 1
```

Properties
Magnetic moment: 2.95 μB/f.u.

---

*Q*
Computed, not measured: a geometry-optimized LaCdW structure at the GGA-PBE level of DFT.

Geometry as CIF:
```
data_LaCdW
_chemical_formula_sum 'La1 Cd1 W1'
_cell_length_a 5.006
_cell_length_b 5.006
_cell_length_c 5.006
_cell_angle_alpha 60.00
_cell_angle_beta 60.00
_cell_angle_gamma 60.00
_space_group_name_H-M_alt 'P 1'
_space_group_IT_number 1
loop_
_space_group_symop_operation_xyz
'x,y,z'
loop_
_atom_site_label
_atom_site_fract_x
_atom_site_fract_y
_atom_site_fract_z
_atom_site_occupancy
W1 0.750 0.750 0.750 1
La1 0.000 0.000 0.000 1
Cd1 0.250 0.250 0.250 1
```

Properties
Magnetic moment: 3.00 μB/f.u.

---

Which structure loses on stability? *Q* does.

---

*P*
Computed, not measured: a geometry-optimized LiLuCdS3 structure at the GGA-PBE level of DFT.

Geometry as CIF:
```
data_LiLuCdS3
_chemical_formula_sum 'Li4 Lu4 Cd4 S12'
_cell_length_a 10.727
_cell_length_b 3.855
_cell_length_c 11.467
_cell_angle_alpha 90.00
_cell_angle_beta 90.00
_cell_angle_gamma 90.00
_space_group_name_H-M_alt 'P 1'
_space_group_IT_number 1
loop_
_space_group_symop_operation_xyz
'x,y,z'
loop_
_atom_site_label
_atom_site_fract_x
_atom_site_fract_y
_atom_site_fract_z
_atom_site_occupancy
S1 0.873 0.250 0.739 1
S2 0.379 0.250 0.412 1
S3 0.876 0.250 0.414 1
S4 0.376 0.250 0.086 1
S5 0.124 0.750 0.586 1
S6 0.127 0.750 0.261 1
S7 0.627 0.750 0.239 1
S8 0.621 0.750 0.588 1
S9 0.624 0.750 0.914 1
S10 0.879 0.250 0.088 1
S11 0.121 0.750 0.912 1
S12 0.373 0.250 0.761 1
Cd1 0.871 0.750 0.906 1
Cd2 0.629 0.250 0.406 1
Cd3 0.371 0.750 0.594 1
Cd4 0.129 0.250 0.094 1
Lu1 0.623 0.250 0.755 1
Lu2 0.123 0.250 0.745 1
Lu3 0.377 0.750 0.245 1
Lu4 0.877 0.750 0.255 1
Li1 0.873 0.750 0.576 1
Li2 0.127 0.250 0.424 1
Li3 0.627 0.250 0.076 1
Li4 0.373 0.750 0.924 1
```

Properties
Magnetic moment: 0.00 μB/f.u.

---

*Q*
Computed, not measured: a geometry-optimized LiLuCdS3 structure at the GGA-PBE level of DFT.

Geometry as CIF:
```
data_LiLuCdS3
_chemical_formula_sum 'Li2 Lu2 Cd2 S6'
_cell_length_a 6.686
_cell_length_b 6.686
_cell_length_c 10.510
_cell_angle_alpha 90.00
_cell_angle_beta 90.00
_cell_angle_gamma 33.59
_space_group_name_H-M_alt 'P 1'
_space_group_IT_number 1
loop_
_space_group_symop_operation_xyz
'x,y,z'
loop_
_atom_site_label
_atom_site_fract_x
_atom_site_fract_y
_atom_site_fract_z
_atom_site_occupancy
S1 0.640 0.640 0.551 1
S2 0.092 0.092 0.250 1
S3 0.360 0.360 0.051 1
S4 0.360 0.360 0.449 1
S5 0.908 0.908 0.750 1
S6 0.640 0.640 0.949 1
Cd1 0.542 0.542 0.750 1
Cd2 0.458 0.458 0.250 1
Li1 0.729 0.729 0.250 1
Li2 0.271 0.271 0.750 1
Lu1 0.000 0.000 0.500 1
Lu2 0.000 0.000 0.000 1
```

Properties
Magnetic moment: 0.00 μB/f.u.

---

Which structure loses on stability? *Q* does.

---

*P*
Computed, not measured: a geometry-optimized LiLuCdTe3 structure at the GGA-PBE level of DFT.

Geometry as CIF:
```
data_LiLuCdTe3
_chemical_formula_sum 'Li4 Lu4 Cd4 Te12'
_cell_length_a 11.861
_cell_length_b 4.308
_cell_length_c 14.099
_cell_angle_alpha 90.00
_cell_angle_beta 90.00
_cell_angle_gamma 90.00
_space_group_name_H-M_alt 'P 1'
_space_group_IT_number 1
loop_
_space_group_symop_operation_xyz
'x,y,z'
loop_
_atom_site_label
_atom_site_fract_x
_atom_site_fract_y
_atom_site_fract_z
_atom_site_occupancy
Li1 0.152 0.000 0.986 1
Li2 0.348 0.500 0.486 1
Li3 0.848 0.500 0.014 1
Li4 0.652 0.000 0.514 1
Cd1 0.237 0.000 0.723 1
Cd2 0.737 0.000 0.777 1
Cd3 0.263 0.500 0.223 1
Cd4 0.763 0.500 0.277 1
Te1 0.947 0.500 0.396 1
Te2 0.748 0.000 0.146 1
Te3 0.447 0.500 0.104 1
Te4 0.064 0.500 0.111 1
Te5 0.564 0.500 0.389 1
Te6 0.752 0.500 0.646 1
Te7 0.053 0.000 0.604 1
Te8 0.248 0.000 0.354 1
Te9 0.252 0.500 0.854 1
Te10 0.936 0.000 0.889 1
Te11 0.553 0.000 0.896 1
Te12 0.436 0.000 0.611 1
Lu1 0.493 0.500 0.760 1
Lu2 0.993 0.500 0.740 1
Lu3 0.007 0.000 0.260 1
Lu4 0.507 0.000 0.240 1
```

Properties
Magnetic moment: 0.00 μB/f.u.

---

*Q*
Computed, not measured: a geometry-optimized LiLuCdTe3 structure at the GGA-PBE level of DFT.

Geometry as CIF:
```
data_LiLuCdTe3
_chemical_formula_sum 'Li2 Lu2 Cd2 Te6'
_cell_length_a 7.482
_cell_length_b 7.482
_cell_length_c 11.530
_cell_angle_alpha 90.00
_cell_angle_beta 90.00
_cell_angle_gamma 33.17
_space_group_name_H-M_alt 'P 1'
_space_group_IT_number 1
loop_
_space_group_symop_operation_xyz
'x,y,z'
loop_
_atom_site_label
_atom_site_fract_x
_atom_site_fract_y
_atom_site_fract_z
_atom_site_occupancy
Te1 0.357 0.357 0.440 1
Te2 0.643 0.643 0.560 1
Te3 0.357 0.357 0.060 1
Te4 0.895 0.895 0.750 1
Te5 0.105 0.105 0.250 1
Te6 0.643 0.643 0.940 1
Cd1 0.478 0.478 0.250 1
Cd2 0.522 0.522 0.750 1
Li1 0.214 0.214 0.750 1
Li2 0.786 0.786 0.250 1
Lu1 0.000 0.000 0.500 1
Lu2 0.000 0.000 0.000 1
```

Properties
Magnetic moment: 0.00 μB/f.u.

---

Which structure loses on stability? *Q* does.